Compound: NaCaHoMg
Source: the Alexandria database
Functional: PBE
Structure: optimized geometry

```
data_NaCaHoMg
_symmetry_space_group_name_H-M 'F -4 3 m'
_symmetry_Int_Tables_number 216
_symmetry_space_group_name_Hall 'F -4 2 3'
_cell_length_a 7.937
_cell_length_b 7.937
_cell_length_c 7.937
_cell_angle_alpha 90.00
_cell_angle_beta 90.00
_cell_angle_gamma 90.00
loop_
_atom_site_label
_atom_site_type_symbol
_atom_site_fract_x
_atom_site_fract_y
_atom_site_fract_z
Na1 Na 0.000 0.000 0.000
Ca1 Ca 0.250 0.250 0.250
Ho1 Ho 0.250 0.250 0.750
Mg1 Mg 0.000 0.000 0.500
```

Crystal system: cubic
DFT total energy (eV per atom): -2.221
Theoretical density (Mg/m³): 3.4
Formation energy from the elements (eV/atom): 0.153

***

Compound: CaHoMgPt
Source: the Alexandria database
Functional: PBE
Structure: optimized geometry

```
data_CaHoMgPt
_symmetry_space_group_name_H-M 'F -4 3 m'
_symmetry_Int_Tables_number 216
_symmetry_space_group_name_Hall 'F -4 2 3'
_cell_length_a 7.190
_cell_length_b 7.190
_cell_length_c 7.190
_cell_angle_alpha 90.00
_cell_angle_beta 90.00
_cell_angle_gamma 90.00
loop_
_atom_site_label
_atom_site_type_symbol
_atom_site_fract_x
_atom_site_fract_y
_atom_site_fract_z
Ca1 Ca 0.000 0.000 0.000
Ho1 Ho 0.000 0.000 0.500
Mg1 Mg 0.250 0.250 0.750
Pt1 Pt 0.250 0.250 0.250
```

Crystal system: cubic
DFT total energy (eV per atom): -4.078
Theoretical density (Mg/m³): 7.6
Formation energy from the elements (eV/atom): -0.525

***

Compound: CaHo2MgRh4
Source: the Alexandria database
Functional: PBE
Structure: optimized geometry

```
data_CaHo2MgRh4
_symmetry_space_group_name_H-M 'R -3 m'
_symmetry_Int_Tables_number 166
_symmetry_space_group_name_Hall '-R 3 2"'
_cell_length_a 4.7063
_cell_length_b 4.7063
_cell_length_c 23.3005
_cell_angle_alpha 90.00
_cell_angle_beta 90.00
_cell_angle_gamma 120.00
loop_
_atom_site_label
_atom_site_type_symbol
_atom_site_fract_x
_atom_site_fract_y
_atom_site_fract_z
Ca1 Ca 0.0000 0.0000 0.0000
Ho1 Ho 0.0000 0.0000 0.2468
Mg1 Mg 0.0000 0.0000 0.5000
Rh1 Rh 0.0000 0.0000 0.1279
Rh2 Rh 0.0000 0.0000 0.3793
```

Crystal system: trigonal
DFT total energy (eV per atom): -5.951
Theoretical density (Mg/m³): 9.0
Formation energy from the elements (eV/atom): -0.681

***

Compound: CaHo4MgS8
Source: the Alexandria database
Functional: PBE
Structure: optimized geometry

```
data_CaHo4MgS8
_symmetry_space_group_name_H-M 'R 3 m'
_symmetry_Int_Tables_number 160
_symmetry_space_group_name_Hall 'R 3 -2"'
_cell_length_a 8.0553
_cell_length_b 8.0553
_cell_length_c 19.3480
_cell_angle_alpha 90.00
_cell_angle_beta 90.00
_cell_angle_gamma 120.00
loop_
_atom_site_label
_atom_site_type_symbol
_atom_site_fract_x
_atom_site_fract_y
_atom_site_fract_z
Ca1 Ca 0.0000 0.0000 0.0000
Ho1 Ho 0.0000 0.0000 0.2420
Ho2 Ho 0.1698 0.3397 0.4531
Mg1 Mg 0.0000 0.0000 0.6249
S1 S 0.0000 0.0000 0.3773
S2 S 0.0000 0.0000 0.8612
S3 S 0.0342 0.5171 0.3727
S4 S 0.1797 0.3593 0.2031
```

Formation energy (no corrections) (eV/atom): -1.920
Crystal system: trigonal
DFT total energy (eV per atom): -5.844
Theoretical density (Mg/m³): 4.5

***

Number 1: magnetization 0.000 μB per atom. Number 2: magnetization 0.000 μB per atom. Number 3: magnetization 0.000 μB per atom. Number 4: magnetization 0.000 μB per atom.